(1)
The following is a DFT calculation (PBEsol) of crystalline BaLi2Bi2 at its relaxed geometry.

Results
Fermi-level density of states: 3.7 states/eV per cell
space group: P4/mbm (127)
polymorph energy (0 for the lowest one): 77 meV/atom
calculated formation energy: -0.61 eV per atom
crystal system: tetragonal

Unit cell a=3.342 b=8.920 c=8.920 alpha=90.00 beta=90.00 gamma=90.00
Atoms (fractional coordinates):
Bi 0.500 0.175 0.675
Bi 0.500 0.825 0.325
Bi 0.500 0.675 0.825
Bi 0.500 0.325 0.175
Li 0.000 0.886 0.614
Li 0.000 0.114 0.386
Li 0.000 0.614 0.114
Li 0.000 0.386 0.886
Ba 0.000 0.000 0.000
Ba 0.000 0.500 0.500



(2)
The following is a DFT calculation (PBEsol) of crystalline Ba4LiBi3O11 at its relaxed geometry.

Results
energy relative to the elements, uncorrected: -177.8 kJ/mol of atoms
Fermi-level density of states: 0.4 states/eV per cell
space group: Amm2 (38)
crystal system: orthorhombic

Unit cell a=6.151 b=6.151 c=8.622 alpha=90.00 beta=90.00 gamma=89.95
Atoms (fractional coordinates):
O 0.490 0.490 0.252
O 0.290 0.833 0.000
O 0.755 0.755 0.000
O 0.014 0.014 0.244
O 0.242 0.242 0.500
O 0.833 0.290 0.000
O 0.732 0.732 0.500
O 0.740 0.251 0.500
O 0.251 0.740 0.500
O 0.490 0.490 0.748
O 0.014 0.014 0.756
Bi 0.989 0.989 0.000
Bi 0.483 0.483 0.500
Bi 0.990 0.990 0.500
Ba 0.487 0.963 0.258
Ba 0.963 0.487 0.258
Ba 0.487 0.963 0.742
Ba 0.963 0.487 0.742
Li 0.539 0.539 0.000